ZrMnSi2: optimized geometry, PBE.

Computed properties:
Space group: No. 71
Calculated density (g/cm3): 5.43
Uncorrected formation energy (eV per atom): -0.2096
N(E_F) (states/eV per cell): 2.24

Structure (extended XYZ):
```
4
Lattice="-1.5309 2.4143 4.1818 1.5309 -2.4143 4.1818 1.5309 2.4143 -4.1818" Properties=species:S:1:pos:R:3 pbc="T T T"
Zr 0.0000 0.0000 0.0000
Mn 0.0000 0.0000 4.1818
Si 1.5309 0.0000 2.3167
Si 0.0000 2.4143 1.8651
```